First-principles (PBE-GGA) data for a relaxed structure of BeTc, as listed in the Alexandria database.

Unit cell a=6.855 b=6.855 c=4.219 alpha=90.00 beta=90.00 gamma=90.00
Element x y z (fractional)
Be: 0.079 0.775 0.000
Be: 0.079 0.225 0.500
Be: 0.775 0.079 0.500
Be: 0.921 0.225 0.000
Be: 0.225 0.079 0.000
Be: 0.775 0.921 0.000
Be: 0.225 0.921 0.500
Be: 0.921 0.775 0.500
Tc: 0.796 0.585 0.000
Tc: 0.415 0.796 0.000
Tc: 0.204 0.585 0.500
Tc: 0.415 0.204 0.500
Tc: 0.204 0.415 0.000
Tc: 0.585 0.204 0.000
Tc: 0.796 0.415 0.500
Tc: 0.585 0.796 0.500

Properties
Total energy   -109.83 eV per cell
Size of the total moment   0.00 μB/cell
Symmetry   P4/mcc, No. 124
Crystal system   tetragonal
DFT formation energy   0.36 eV per formula unit